a.
An optimized crystal structure of ZrPbF3, computed with GGA-PBE.

abc: 4.7792 4.7792 4.7792
angles: 90.00 90.00 90.00
Fractional coordinates of all 5 atoms:
Zr: 0.0000 0.0000 0.0000
Pb: 0.5000 0.5000 0.5000
F: 0.0000 0.5000 0.5000
F: 0.5000 0.0000 0.5000
F: 0.5000 0.5000 0.0000

Calculated values
Space group: Pm-3m
Magnetization (μB/f.u.): 3.00

=====

b.
An optimized crystal structure of ZrPbF3, computed with GGA-PBE.

abc: 4.4430 4.4430 4.4430
angles: 90.00 90.00 90.00
Fractional coordinates of all 5 atoms:
Zr: 0.0000 0.0000 0.0000
Pb: 0.5000 0.5000 0.5000
F: 0.0000 0.0000 0.5000
F: 0.0000 0.5000 0.0000
F: 0.5000 0.0000 0.0000

Calculated values
Space group: Pm-3m
Magnetization (μB/f.u.): 1.46

=====

Stability, highest: b

=====

a.
An optimized crystal structure of ZrPb2F, computed with GGA-PBE.

abc: 5.0924 5.0924 5.0924
angles: 60.00 60.00 60.00
Fractional coordinates of all 4 atoms:
Zr: 0.0000 0.0000 0.0000
Pb: 0.2500 0.2500 0.2500
Pb: 0.7500 0.7500 0.7500
F: 0.5000 0.5000 0.5000

Calculated values
Space group: Fm-3m
Magnetization (μB/f.u.): 0.00

=====

b.
An optimized crystal structure of ZrPb2F, computed with GGA-PBE.

abc: 10.9448 10.9448 10.9448
angles: 157.07 157.07 32.65
Fractional coordinates of all 8 atoms:
Zr: 0.0000 0.0000 0.0000
Zr: 0.7500 0.2500 0.5000
Pb: 0.1228 0.6250 0.9978
Pb: 0.3750 0.3728 0.4978
Pb: 0.6272 0.1250 0.0022
Pb: 0.8750 0.8772 0.5022
F: 0.2500 0.7500 0.5000
F: 0.5000 0.5000 0.0000

Calculated values
Space group: I-42d
Magnetization (μB/f.u.): 0.00

=====

Stability, highest: a